Run one
Computed, not measured: crystalline V3SnBr at its relaxed geometry at the PBE level of DFT.

Calculated values
V	142.3	Å³/f.u.
total magnetic moment	10.0	μB per formula unit

Unit cell a=5.2205 b=5.2205 c=5.2205 alpha=90.00 beta=90.00 gamma=90.00
With the nearest neighbours (Å) after each atom.
Sites, in units of the cell vectors:
V  0.0000  0.0000  0.5000  2 Sn 2.61
V  0.0000  0.5000  0.0000  2 Sn 2.61
V  0.5000  0.0000  0.0000  2 Sn 2.61
Sn  0.0000  0.0000  0.0000  6 V 2.61
Br  0.5000  0.5000  0.5000  12 V 3.69

=====

Run two
Computed, not measured: crystalline V3SnBr at its relaxed geometry at the PBE level of DFT.

Calculated values
V	91.0	Å³/f.u.
total magnetic moment	0.0	μB per formula unit

Unit cell a=4.4977 b=4.4977 c=4.4977 alpha=90.00 beta=90.00 gamma=90.00
With the nearest neighbours (Å) after each atom.
Sites, in units of the cell vectors:
V  0.0000  0.0000  0.5000  2 Br 2.25
V  0.0000  0.5000  0.0000  2 Br 2.25
V  0.5000  0.0000  0.0000  2 Br 2.25
Sn  0.5000  0.5000  0.5000  12 V 3.18
Br  0.0000  0.0000  0.0000  6 V 2.25

=====

Which of them is the most stable? Correct choice: run two.

=====

Run one
Computed, not measured: crystalline V2SnBr at its relaxed geometry at the PBE level of DFT.

Calculated values
V	70.4	Å³/f.u.
total magnetic moment	1.4	μB per formula unit

Unit cell a=4.6344 b=4.6344 c=4.6344 alpha=60.00 beta=60.00 gamma=60.00
With the nearest neighbours (Å) after each atom.
Sites, in units of the cell vectors:
V  0.2500  0.2500  0.2500  4 Sn 2.84, 4 Br 2.84
V  0.7500  0.7500  0.7500  4 Br 2.84, 4 Sn 2.84
Sn  0.0000  0.0000  0.0000  8 V 2.84
Br  0.5000  0.5000  0.5000  8 V 2.84

=====

Run two
Computed, not measured: crystalline V2SnBr at its relaxed geometry at the PBE level of DFT.

Calculated values
V	85.9	Å³/f.u.
total magnetic moment	5.3	μB per formula unit

Unit cell a=6.0719 b=6.0719 c=6.0719 alpha=107.61 beta=107.61 gamma=113.26
With the nearest neighbours (Å) after each atom.
Sites, in units of the cell vectors:
V  0.0857  0.6250  0.9607  2 Br 2.49
V  0.3750  0.3357  0.4607  2 Br 2.49
V  0.6643  0.1250  0.0393  2 Br 2.49
V  0.8750  0.9143  0.5393  2 Br 2.49
Sn  0.2500  0.7500  0.5000  4 V 2.87
Sn  0.5000  0.5000  0.0000  4 V 2.87
Br  0.0000  0.0000  0.0000  4 V 2.49
Br  0.7500  0.2500  0.5000  4 V 2.49

=====

Which of them is the most stable? Correct choice: run one.

=====

Run one
Computed, not measured: crystalline V2SnBr2 at its relaxed geometry at the PBE level of DFT.

Calculated values
V	117.1	Å³/f.u.
total magnetic moment	6.6	μB per formula unit

Unit cell a=8.4934 b=8.4934 c=3.2452 alpha=90.00 beta=90.00 gamma=90.00
With the nearest neighbours (Å) after each atom.
Sites, in units of the cell vectors:
V  0.2037  0.2963  0.0000  2 Br 2.57
V  0.2963  0.7963  0.0000  2 Br 2.57
V  0.7037  0.2037  0.0000  2 Br 2.57
V  0.7963  0.7037  0.0000  2 Br 2.57
Sn  0.0000  0.0000  0.5000  2 Sn 3.25, 4 Br 3.33, 8 V 3.46
Sn  0.5000  0.5000  0.5000  2 Sn 3.25, 4 Br 3.33, 8 V 3.46
Br  0.1301  0.6301  0.5000  2 V 2.57
Br  0.3699  0.1301  0.5000  2 V 2.57
Br  0.6301  0.8699  0.5000  2 V 2.57
Br  0.8699  0.3699  0.5000  2 V 2.57

=====

Run two
Computed, not measured: crystalline V2SnBr2 at its relaxed geometry at the PBE level of DFT.

Calculated values
V	123.1	Å³/f.u.
total magnetic moment	0.0	μB per formula unit

Unit cell a=10.3784 b=10.3784 c=10.3784 alpha=160.61 beta=160.61 gamma=27.55
With the nearest neighbours (Å) after each atom.
Sites, in units of the cell vectors:
V  0.2500  0.7500  0.5000  4 V 2.47, 4 Br 2.58
V  0.7500  0.2500  0.5000  4 V 2.47, 4 Br 2.58
Sn  0.0000  0.0000  0.0000  4 Sn 3.49
Br  0.3438  0.3438  0.0000  4 V 2.58
Br  0.6562  0.6562  0.0000  4 V 2.58

=====

Which of them is the most stable? Correct choice: run two.

=====

Run one
Computed, not measured: crystalline SnW3Br at its relaxed geometry at the PBE level of DFT.

Calculated values
V	100.3	Å³/f.u.
total magnetic moment	0.0	μB per formula unit

Unit cell a=4.6460 b=4.6460 c=4.6460 alpha=90.00 beta=90.00 gamma=90.00
With the nearest neighbours (Å) after each atom.
Sites, in units of the cell vectors:
Sn  0.0000  0.0000  0.0000  12 W 3.29
W  0.0000  0.5000  0.5000  2 Br 2.32
W  0.5000  0.0000  0.5000  2 Br 2.32
W  0.5000  0.5000  0.0000  2 Br 2.32
Br  0.5000  0.5000  0.5000  6 W 2.32

=====

Run two
Computed, not measured: crystalline SnW3Br at its relaxed geometry at the PBE level of DFT.

Calculated values
V	124.6	Å³/f.u.
total magnetic moment	0.0	μB per formula unit

Unit cell a=4.9949 b=4.9949 c=4.9949 alpha=90.00 beta=90.00 gamma=90.00
With the nearest neighbours (Å) after each atom.
Sites, in units of the cell vectors:
Sn  0.0000  0.0000  0.0000  6 W 2.50
W  0.0000  0.0000  0.5000  2 Sn 2.50
W  0.0000  0.5000  0.0000  2 Sn 2.50
W  0.5000  0.0000  0.0000  2 Sn 2.50
Br  0.5000  0.5000  0.5000  12 W 3.53

=====

Which of them is the most stable? Correct choice: run one.

=====

Run one
Computed, not measured: crystalline SnW2Br at its relaxed geometry at the PBE level of DFT.

Calculated values
V	71.7	Å³/f.u.
total magnetic moment	0.0	μB per formula unit

Unit cell a=4.6626 b=4.6626 c=4.6626 alpha=60.00 beta=60.00 gamma=60.00
With the nearest neighbours (Å) after each atom.
Sites, in units of the cell vectors:
Sn  0.0000  0.0000  0.0000  8 W 2.86
W  0.2500  0.2500  0.2500  4 Sn 2.86, 4 Br 2.86
W  0.7500  0.7500  0.7500  4 Br 2.86, 4 Sn 2.86
Br  0.5000  0.5000  0.5000  8 W 2.86

=====

Run two
Computed, not measured: crystalline SnW2Br at its relaxed geometry at the PBE level of DFT.

Calculated values
V	84.0	Å³/f.u.
total magnetic moment	0.0	μB per formula unit

Unit cell a=9.4981 b=9.4981 c=9.4981 alpha=153.69 beta=153.69 gamma=37.55
With the nearest neighbours (Å) after each atom.
Sites, in units of the cell vectors:
Sn  0.0000  0.0000  0.0000  4 W 2.85, 4 Br 3.06
Sn  0.7500  0.2500  0.5000  4 W 2.85, 4 Br 3.06
W  0.1947  0.6250  0.0697  2 Br 2.61, 2 W 2.67, 2 Sn 2.85
W  0.3750  0.4447  0.5697  2 Br 2.61, 2 W 2.67, 2 Sn 2.85
W  0.5553  0.1250  0.9303  2 Br 2.61, 2 W 2.67, 2 Sn 2.85
W  0.8750  0.8053  0.4303  2 Br 2.61, 2 W 2.67, 2 Sn 2.85
Br  0.2500  0.7500  0.5000  4 W 2.61
Br  0.5000  0.5000  0.0000  4 W 2.61

=====

Which of them is the most stable? Correct choice: run one.

=====

Run one
Computed, not measured: crystalline SnWBr2 at its relaxed geometry at the PBE level of DFT.

Calculated values
V	113.2	Å³/f.u.
total magnetic moment	1.9	μB per formula unit

Unit cell a=7.0097 b=7.0097 c=7.0097 alpha=98.58 beta=98.58 gamma=134.55
With the nearest neighbours (Å) after each atom.
Sites, in units of the cell vectors:
Sn  0.0000  0.0000  0.0000  2 W 2.71
Sn  0.7500  0.2500  0.5000  2 W 2.71
W  0.2500  0.7500  0.5000  4 Br 2.63, 2 Sn 2.71
W  0.5000  0.5000  0.0000  4 Br 2.63, 2 Sn 2.71
Br  0.2532  0.6250  0.1281  2 W 2.63
Br  0.3750  0.5032  0.6282  2 W 2.63
Br  0.4968  0.1250  0.8718  2 W 2.63
Br  0.8750  0.7468  0.3718  2 W 2.63

=====

Run two
Computed, not measured: crystalline SnWBr2 at its relaxed geometry at the PBE level of DFT.

Calculated values
V	85.1	Å³/f.u.
total magnetic moment	1.4	μB per formula unit

Unit cell a=4.9379 b=4.9379 c=4.9379 alpha=60.00 beta=60.00 gamma=60.00
With the nearest neighbours (Å) after each atom.
Sites, in units of the cell vectors:
Sn  0.0000  0.0000  0.0000  8 Br 3.02
W  0.5000  0.5000  0.5000  8 Br 3.02
Br  0.2500  0.2500  0.2500  4 Sn 3.02, 4 W 3.02
Br  0.7500  0.7500  0.7500  4 W 3.02, 4 Sn 3.02

=====

Which of them is the most stable? Correct choice: run one.

=====

Run one
Computed, not measured: crystalline YSnBr2 at its relaxed geometry at the PBE level of DFT.

Calculated values
V	123.5	Å³/f.u.
total magnetic moment	0.0	μB per formula unit

Unit cell a=10.8530 b=10.8530 c=10.8530 alpha=19.42 beta=19.42 gamma=19.42
With the nearest neighbours (Å) after each atom.
Sites, in units of the cell vectors:
Y  0.0000  0.0000  0.0000  6 Br 2.88
Sn  0.5000  0.5000  0.5000  2 Br 3.36, 6 Sn 3.66
Br  0.3947  0.3947  0.3947  3 Y 2.88
Br  0.6053  0.6053  0.6053  3 Y 2.88

=====

Run two
Computed, not measured: crystalline YSnBr2 at its relaxed geometry at the PBE level of DFT.

Calculated values
V	104.6	Å³/f.u.
total magnetic moment	0.0	μB per formula unit

Unit cell a=5.2890 b=5.2890 c=5.2890 alpha=60.00 beta=60.00 gamma=60.00
With the nearest neighbours (Å) after each atom.
Sites, in units of the cell vectors:
Y  0.0000  0.0000  0.0000  8 Br 3.24
Sn  0.5000  0.5000  0.5000  8 Br 3.24
Br  0.2500  0.2500  0.2500  4 Sn 3.24, 4 Y 3.24
Br  0.7500  0.7500  0.7500  4 Sn 3.24, 4 Y 3.24

=====

Which of them is the most stable? Correct choice: run one.

=====

Run one
Computed, not measured: crystalline Y2SnBr at its relaxed geometry at the PBE level of DFT.

Calculated values
V	150.5	Å³/f.u.
total magnetic moment	0.0	μB per formula unit

Unit cell a=8.5796 b=8.5796 c=8.5796 alpha=135.96 beta=135.96 gamma=64.03
With the nearest neighbours (Å) after each atom.
Sites, in units of the cell vectors:
Y  0.1211  0.6250  0.9961  2 Br 2.90, 2 Sn 2.93
Y  0.3750  0.3711  0.4961  2 Br 2.90, 2 Sn 2.93
Y  0.6289  0.1250  0.0039  2 Br 2.90, 2 Sn 2.93
Y  0.8750  0.8789  0.5039  2 Br 2.90, 2 Sn 2.93
Sn  0.2500  0.7500  0.5000  4 Y 2.93
Sn  0.5000  0.5000  0.0000  4 Y 2.93
Br  0.0000  0.0000  0.0000  4 Y 2.90
Br  0.7500  0.2500  0.5000  4 Y 2.90

=====

Run two
Computed, not measured: crystalline Y2SnBr at its relaxed geometry at the PBE level of DFT.

Calculated values
V	106.9	Å³/f.u.
total magnetic moment	0.5	μB per formula unit

Unit cell a=5.3272 b=5.3272 c=5.3272 alpha=60.00 beta=60.00 gamma=60.00
With the nearest neighbours (Å) after each atom.
Sites, in units of the cell vectors:
Y  0.2500  0.2500  0.2500  4 Sn 3.26, 4 Br 3.26
Y  0.7500  0.7500  0.7500  4 Sn 3.26, 4 Br 3.26
Sn  0.0000  0.0000  0.0000  8 Y 3.26
Br  0.5000  0.5000  0.5000  8 Y 3.26

=====

Which of them is the most stable? Correct choice: run two.